1.
# Ca2Ga4SnPt3

Crystalline Ca2Ga4SnPt3 at its relaxed geometry (PBE-GGA, Alexandria via LeMat-Bulk).

a b c (Å): 4.277 4.277 11.056
angles (deg): 90.00 90.00 90.00
Space group P-4m2 (No. 115)
Symmetry-distinct sites (fractional):
Ca  0.000  0.500  0.240 x2
Ga  0.000  0.000  0.000 x1
Ga  0.000  0.500  0.650 x2
Ga  0.500  0.500  0.000 x1
Sn  0.000  0.000  0.500 x1
Pt  0.000  0.500  0.873 x2
Pt  0.500  0.500  0.500 x1

Results
final energy	-4.5681	eV per atom
M_tot	0.00	μB per formula unit

=====

2.
# RhC2

Crystalline RhC2 at its relaxed geometry (PBE-GGA, Alexandria via LeMat-Bulk).

a b c (Å): 2.595 2.595 3.796
angles (deg): 90.00 90.00 90.00
Space group P4/mmm (No. 123)
Symmetry-distinct sites (fractional):
Rh  0.000  0.000  0.000 x1
C  0.000  0.500  0.500 x2

Results
offset from the most stable computed form	1393.2	meV per atom
M_tot	0.00	μB per formula unit